Entry from Alexandria via LeMat-Bulk: crystalline TbHoUO6 at its relaxed geometry (PBE).

```
18
Lattice="5.758 0.000 0.000 -2.879 4.987 0.000 0.000 0.000 9.429" Properties=species:S:1:pos:R:3 pbc="T T T"
Tb 0.000 0.000 0.000
Tb 0.000 0.000 4.715
Ho 0.000 3.325 2.357
Ho 2.879 1.662 7.072
U 0.000 3.325 7.072
U 2.879 1.662 2.357
O -0.897 1.769 5.983
O -1.796 3.325 8.161
O 0.897 1.769 8.161
O -0.899 4.879 5.983
O 1.980 0.107 1.269
O 1.083 1.661 3.446
O 1.796 3.325 5.983
O 0.899 4.879 8.161
O 3.778 0.107 3.446
O 1.982 3.218 1.269
O 4.675 1.661 1.269
O 3.776 3.218 3.446
```

E_tot, eV/cell: -160.9
Fermi-level density of states, states/eV/f.u.: 0.0